[1]
DFT (GGA-PBE) results for a relaxed structure of CdAg2Te.

Cell: 3.1351 3.1351 9.0317 Å, 90.00 90.00 90.00°
Last column: nearest neighbours and their distance in Å.
Atoms (fractional coordinates):
Cd1 0.0000 0.0000 0.0000  8 Ag 2.99, 4 Cd 3.14
Ag1 0.5000 0.5000 0.2217  4 Cd 2.99, 4 Ag 3.14
Ag2 0.5000 0.5000 0.7783  4 Cd 2.99, 4 Ag 3.14
Te1 0.0000 0.0000 0.5000  4 Te 3.14, 8 Ag 3.35

symmetry	No. 123
final energy	-0.172	Ry/atom
energy relative to the elements, uncorrected	0.419	eV/f.u.
distance to the lowest polymorph of the same formula	107	meV/atom
crystal system	tetragonal

=====

[2]
DFT (GGA-PBE) results for a relaxed structure of La7Pm3Nd2.

Cell: 6.6210 3.6267 18.0750 Å, 90.00 95.66 90.00°
Last column: nearest neighbours and their distance in Å.
Atoms (fractional coordinates):
La1 0.0000 0.0000 0.0000  8 La 3.63-3.75, 4 Pm 3.77
La2 0.2225 0.5000 0.1703  1 Nd 3.62, 8 La 3.63-3.78, 3 Pm 3.71-3.74
La3 0.2611 0.5000 0.4912  2 La 3.15-3.50, 1 Nd 3.42
La4 0.2772 0.0000 0.8335  7 La 3.63-3.78, 2 Nd 3.66, 3 Pm 3.69-3.71
La5 0.7228 0.0000 0.1665  7 La 3.63-3.78, 2 Nd 3.66, 3 Pm 3.69-3.71
La6 0.7389 0.5000 0.5088  2 La 3.15-3.50, 1 Nd 3.42
La7 0.7775 0.5000 0.8297  1 Nd 3.62, 8 La 3.63-3.78, 3 Pm 3.71-3.74
Pm1 0.4532 0.0000 0.3367  2 Pm 3.63, 7 La 3.66-3.92, 4 Nd 3.70-3.85
Pm2 0.5000 0.5000 0.0000  2 Pm 3.63, 10 La 3.69-3.77
Pm3 0.5468 0.0000 0.6633  2 Pm 3.63, 7 La 3.66-3.92, 4 Nd 3.70-3.85
Nd1 0.0611 0.5000 0.6686  5 La 3.42-3.66, 2 Nd 3.63, 2 Pm 3.70
Nd2 0.9389 0.5000 0.3314  5 La 3.42-3.66, 2 Nd 3.63, 2 Pm 3.70

symmetry	No. 10
final energy	-0.353	Ry/atom
formation enthalpy at 0 K	0.698	eV/f.u.
distance to the lowest polymorph of the same formula	0	meV/atom
crystal system	monoclinic